Material: H8PtN2F6
Method: DFT, PBE-GGA
State: relaxed

* total magnetization: 0.00 μB/cell
* mass density: 4.46 Mg/m³
* raw total energy: -4.6510 eV per atom

Cell lengths 5.7102, 5.7102, 4.5510 Å; angles 90.00, 90.00, 120.00 degrees
Fractional positions:
H1 0.3333 0.6667 0.9297
F1 0.1656 0.3312 0.2364
H2 0.4724 0.2362 0.3767
H3 0.7638 0.2362 0.3767
H4 0.2362 0.4724 0.6233
H5 0.7638 0.5276 0.3767
H6 0.5276 0.7638 0.6233
N1 0.6667 0.3333 0.2959
H7 0.6667 0.3333 0.0703
F2 0.1656 0.8344 0.2364
F3 0.8344 0.1656 0.7636
Pt1 0.0000 0.0000 0.0000
F4 0.6688 0.8344 0.2364
F5 0.3312 0.1656 0.7636
N2 0.3333 0.6667 0.7041
F6 0.8344 0.6688 0.7636
H8 0.2362 0.7638 0.6233